Ag2HgGe, relaxed, DFT PBE-GGA; theoretical density = 10.4 g/cm³; total magnetic moment = 0.000 μB per cell; space group = No. 8; formation energy from the elements = 0.1467 eV per atom
1.0
2.7288 -1.5338 0.0000
2.7288 1.5338 0.0000
-1.6957 0.0000 9.3553
Ag Hg Ge
2 1 1
direct
0.0000 0.0000 0.0000
0.1695 0.1695 0.4780
0.5856 0.5856 0.7388
0.7575 0.7575 0.2385